No. 1
DFT (PBE-GGA) results for an optimized crystal structure of LaDyY6Er2.

Calculated values
ΔE_f = 0.120 eV/atom
Crystal system = monoclinic

Unit cell a=8.825 b=8.825 c=9.487 alpha=92.96 beta=92.96 gamma=116.70
Element x y z (fractional)
La 0.033 0.967 0.750
La 0.967 0.033 0.250
Dy 0.412 0.588 0.250
Dy 0.588 0.412 0.750
Y 0.010 0.556 0.681
Y 0.119 0.756 0.058
Y 0.244 0.881 0.442
Y 0.293 0.518 0.888
Y 0.444 0.990 0.819
Y 0.482 0.707 0.612
Y 0.518 0.293 0.388
Y 0.556 0.010 0.181
Y 0.707 0.482 0.112
Y 0.756 0.119 0.558
Y 0.881 0.244 0.942
Y 0.990 0.444 0.319
Er 0.200 0.303 0.553
Er 0.303 0.200 0.053
Er 0.697 0.800 0.947
Er 0.800 0.697 0.447


No. 2
DFT (PBE-GGA) results for an optimized crystal structure of LaDy2Y6Er3.

Calculated values
ΔE_f = 0.025 eV/atom
Crystal system = monoclinic

Unit cell a=6.176 b=6.176 c=11.823 alpha=94.98 beta=94.98 gamma=119.96
Element x y z (fractional)
La 0.000 0.000 0.000
Dy 0.333 0.667 0.000
Dy 0.667 0.333 0.000
Y 0.085 0.419 0.253
Y 0.250 0.250 0.747
Y 0.419 0.085 0.253
Y 0.581 0.915 0.747
Y 0.750 0.750 0.253
Y 0.915 0.581 0.747
Er 0.167 0.833 0.500
Er 0.500 0.500 0.500
Er 0.833 0.167 0.500


No. 3
DFT (PBE-GGA) results for an optimized crystal structure of La2Dy3YEr6.

Calculated values
ΔE_f = 0.024 eV/atom
Crystal system = monoclinic

Unit cell a=6.175 b=6.175 c=11.765 alpha=95.01 beta=95.01 gamma=119.97
Element x y z (fractional)
La 0.166 0.834 0.000
La 0.834 0.166 0.000
Dy 0.000 0.000 0.500
Dy 0.334 0.666 0.500
Dy 0.666 0.334 0.500
Y 0.500 0.500 0.000
Er 0.082 0.415 0.745
Er 0.253 0.253 0.255
Er 0.415 0.082 0.745
Er 0.585 0.918 0.255
Er 0.747 0.747 0.745
Er 0.918 0.585 0.255


The following electronic total energy values (in eV/f.u.) correspond, in order, to the records above: -56.24 -66.30 -57.21.